Entry from Alexandria: a geometry-optimized CaHfTeN2 structure (PBE).

Structure (POSCAR):
```
CaHfTeN2
1.0
-4.082 -0.389 1.103
-0.979 -1.055 -3.995
0.889 -5.690 1.285
Ca N Hf Te
1 2 1 1
Cartesian
-2.086 -3.567 -0.803
-0.490 -0.528 -1.997
-2.041 -0.194 0.552
0.000 0.000 0.000
0.444 -2.845 0.642
```

Results
raw total energy	-33.65	eV per cell
raw formation energy	-381	meV/atom
M_tot	0.171	μB/atom

***

Entry from Alexandria: a geometry-optimized SrTaPOs2 structure (PBE).

Structure (POSCAR):
```
SrTaPOs2
1.0
4.740 0.000 0.000
0.000 5.940 0.000
0.000 0.000 4.740
Ta Sr P Os
1 1 1 2
Cartesian
0.000 0.000 0.000
0.000 2.970 0.000
2.370 2.970 2.370
0.000 0.000 2.370
2.370 0.000 0.000
```

Results
raw total energy	-32.53	eV per cell
M_tot	0.257	μB/atom
ΔE_f	1.775	eV/atom

***

Entry from Alexandria: a geometry-optimized LiY2SnH structure (PBE).

Structure (POSCAR):
```
LiY2SnH
1.0
-3.344 0.391 -3.443
-3.249 -2.014 2.927
-1.075 3.894 1.486
Y H Li Sn
2 1 1 1
Cartesian
-1.625 -1.007 1.464
-1.672 0.195 -1.721
0.000 0.000 0.000
-0.538 1.947 0.743
-3.834 1.135 0.485
```

Results
raw total energy	-24.85	eV per cell
M_tot	0.000	μB/atom